Compound: WAu3Se
Source: Alexandria
Functional: PBEsol
Structure: relaxed

Geometry as POSCAR:
```
WAu3Se
1.0
4.802 0.000 0.000
0.000 4.802 0.000
0.000 0.000 4.802
W Au Se
1 3 1
Cartesian
0.000 0.000 0.000
0.000 2.401 2.401
2.401 0.000 2.401
2.401 2.401 0.000
2.401 2.401 2.401
```

energy relative to the elements, uncorrected	1.62	eV per atom